1.
Computed, not measured: crystalline Re2C at its relaxed geometry at the PBE level of DFT.

a = 7.214 Å, b = 7.214 Å, c = 7.214 Å
α = 90.00°, β = 90.00°, γ = 90.00°
Space group Fd-3m (No. 227, origin choice 2)
Symmetry-distinct sites (fractional):
1 Re 0.000 0.000 0.000 x16
2 C 0.125 0.125 0.625 x8

Properties
E_form: 2.686 eV per atom
Calculated total energy: -8.687 eV/atom
M_tot: 0.00 μB per formula unit
E above lowest polymorph: 2.7195 eV per atom



2.
Computed, not measured: crystalline Re2C at its relaxed geometry at the PBE level of DFT.

a = 5.5107 Å, b = 5.5107 Å, c = 4.2445 Å
α = 90.00°, β = 90.00°, γ = 120.00°
Space group P-62m (No. 189)
Symmetry-distinct sites (fractional):
1 Re 0.0000 0.2963 0.0000 x3
2 Re 0.0000 0.6180 0.5000 x3
3 C 0.0000 0.0000 0.5000 x1
4 C 0.3333 0.6667 0.0000 x2

Properties
E_form: 0.708 eV per atom
Calculated total energy: -10.665 eV/atom
M_tot: 0.00 μB per formula unit
E above lowest polymorph: 0.7416 eV per atom